LaCePt3: optimized geometry, GGA-PBE.

Properties
Its total DFT energy (no corrections) is -6.856 eV/atom. As for the formation energy: -1059 meV per atom. As for the offset from the most stable computed form: 42.4 meV/atom. The density is 12.71 g/cm3. The total magnetization is 0.086 μB per atom.

Cell lengths 7.1895, 7.9611, 7.8923 Å; angles 90.00, 90.00, 90.00 degrees
Last column: nearest neighbours and their distance in Å.
Space group Pnnm (No. 58)
Unique sites:
1 La 0.2120 0.1385 0.0000 (multiplicity 4)  8 Pt 2.88-3.15
2 Ce 0.2151 0.1363 0.5000 (multiplicity 4)  8 Pt 2.90-3.11
3 Pt 0.0000 0.5000 0.2336 (multiplicity 4)  4 Pt 2.96-2.97, 2 Ce 2.96, 2 La 3.15
4 Pt 0.1206 0.8568 0.2520 (multiplicity 8)  3 Pt 2.86-2.97, 3 La 2.88-3.11, 3 Ce 2.90-3.11